Density functional theory data (GGA-PBE) for crystalline Rh3Pb at its relaxed geometry.

- Space-group type: No. 12
- Mass density: 12.97 g/cm³
- Energy relative to the elements: 0.123 eV per atom

Lattice parameters (Å, degrees): 4.814 4.814 4.898 100.63 100.63 36.37
Fractional positions:
1 Rh 0.000 0.000 0.000
2 Rh 0.252 0.252 0.772
3 Rh 0.748 0.748 0.228
4 Pb 0.500 0.500 0.500